No. 1
Computed, not measured: a relaxed structure of ScAlPd at the PBE level of DFT.

Lattice parameters (Å, degrees): 4.3910 4.3910 3.2457 90.00 90.00 120.00
Space group P-6m2 (No. 187)
Unique sites:
Sc 0.0000 0.0000 0.0000 x1
Al 0.3333 0.6667 0.5000 x1
Pd 0.6667 0.3333 0.5000 x1

Summary:
ΔH_f (0 K), meV per atom: -755
N(E_F), states/eV per cell: 3.0

=====

No. 2
Computed, not measured: a relaxed structure of Sm2ScAl2Pd5 at the PBE level of DFT.

Lattice parameters (Å, degrees): 10.3671 10.3671 3.5431 90.00 90.00 90.00
Space group P4/mbm (No. 127)
Unique sites:
Sm 0.1761 0.3239 0.0000 x4
Sc 0.0000 0.0000 0.0000 x2
Al 0.1234 0.6234 0.0000 x4
Pd 0.0000 0.5000 0.5000 x2
Pd 0.0604 0.7914 0.5000 x8

Summary:
ΔH_f (0 K), meV per atom: -818
N(E_F), states/eV per cell: 10.1

=====

No. 3
Computed, not measured: a relaxed structure of SmScAlPd at the PBE level of DFT.

Lattice parameters (Å, degrees): 7.0306 7.0306 7.0306 90.00 90.00 90.00
Space group F-43m (No. 216)
Unique sites:
Sm 0.0000 0.0000 0.0000 x4
Sc 0.0000 0.0000 0.5000 x4
Al 0.2500 0.2500 0.2500 x4
Pd 0.2500 0.2500 0.7500 x4

Summary:
ΔH_f (0 K), meV per atom: -532
N(E_F), states/eV per cell: 10.6

=====

No. 4
Computed, not measured: a relaxed structure of Sm2ScAl3Pd4 at the PBE level of DFT.

Lattice parameters (Å, degrees): 4.3077 4.3077 10.7312 90.00 90.00 90.00
Space group P-4m2 (No. 115)
Unique sites:
Sm 0.0000 0.5000 0.2358 x2
Sc 0.0000 0.0000 0.5000 x1
Al 0.0000 0.5000 0.8787 x2
Al 0.5000 0.5000 0.5000 x1
Pd 0.0000 0.0000 0.0000 x1
Pd 0.0000 0.5000 0.6462 x2
Pd 0.5000 0.5000 0.0000 x1

Summary:
ΔH_f (0 K), meV per atom: -833
N(E_F), states/eV per cell: 6.7

=====

No. 5
Computed, not measured: a relaxed structure of Sm2ScAl4Pd3 at the PBE level of DFT.

Lattice parameters (Å, degrees): 4.1983 4.1983 11.4679 90.00 90.00 90.00
Space group P-4m2 (No. 115)
Unique sites:
Sm 0.0000 0.5000 0.2358 x2
Sc 0.0000 0.0000 0.5000 x1
Al 0.0000 0.0000 0.0000 x1
Al 0.0000 0.5000 0.6584 x2
Al 0.5000 0.5000 0.0000 x1
Pd 0.0000 0.5000 0.8751 x2
Pd 0.5000 0.5000 0.5000 x1

Summary:
ΔH_f (0 K), meV per atom: -717
N(E_F), states/eV per cell: 9.7

=====

No. 6
Computed, not measured: a relaxed structure of Tb2ScAl2Pd5 at the PBE level of DFT.

Lattice parameters (Å, degrees): 10.0899 10.0899 3.6624 90.00 90.00 90.00
Space group P4/mbm (No. 127)
Unique sites:
Tb 0.1763 0.3237 0.0000 x4
Sc 0.0000 0.0000 0.0000 x2
Al 0.1214 0.6214 0.0000 x4
Pd 0.0000 0.5000 0.5000 x2
Pd 0.0640 0.7902 0.5000 x8

Summary:
ΔH_f (0 K), meV per atom: -853
N(E_F), states/eV per cell: 13.7

=====

No. 7
Computed, not measured: a relaxed structure of ScTiAlPd2 at the PBE level of DFT.

Lattice parameters (Å, degrees): 4.6246 4.6246 5.0818 90.00 90.00 90.00
Space group P4/mmm (No. 123)
Unique sites:
Sc 0.0000 0.0000 0.0000 x1
Ti 0.5000 0.5000 0.5000 x1
Al 0.0000 0.0000 0.5000 x1
Pd 0.0000 0.5000 0.0000 x2

Summary:
ΔH_f (0 K), meV per atom: 635
N(E_F), states/eV per cell: 5.6

=====

No. 8
Computed, not measured: a relaxed structure of TmSc2Al2Pd5 at the PBE level of DFT.

Lattice parameters (Å, degrees): 9.7183 9.7183 3.7708 90.00 90.00 90.00
Space group P4/mbm (No. 127)
Unique sites:
Tm 0.0000 0.0000 0.0000 x2
Sc 0.1732 0.3268 0.0000 x4
Al 0.1236 0.6236 0.0000 x4
Pd 0.0000 0.5000 0.5000 x2
Pd 0.0709 0.7884 0.5000 x8

Summary:
ΔH_f (0 K), meV per atom: -836
N(E_F), states/eV per cell: 14.0

=====

No. 9
Computed, not measured: a relaxed structure of TmScAlPd at the PBE level of DFT.

Lattice parameters (Å, degrees): 6.8954 6.8954 6.8954 90.00 90.00 90.00
Space group F-43m (No. 216)
Unique sites:
Tm 0.0000 0.0000 0.0000 x4
Sc 0.0000 0.0000 0.5000 x4
Al 0.2500 0.2500 0.2500 x4
Pd 0.2500 0.2500 0.7500 x4

Summary:
Relative energy among the computed polymorphs, eV per atom: 0.068
ΔH_f (0 K), meV per atom: -606
N(E_F), states/eV per cell: 13.5

=====

No. 10
Computed, not measured: a relaxed structure of TmScAlPd at the PBE level of DFT.

Lattice parameters (Å, degrees): 3.4512 3.4512 6.7861 90.00 90.00 90.00
Space group P4mm (No. 99)
Unique sites:
Tm 0.0000 0.0000 0.0000 x1
Sc 0.0000 0.0000 0.4812 x1
Al 0.5000 0.5000 0.7198 x1
Pd 0.5000 0.5000 0.2635 x1

Summary:
Relative energy among the computed polymorphs, eV per atom: 0.000
ΔH_f (0 K), meV per atom: -673
N(E_F), states/eV per cell: 2.2

=====

No. 11
Computed, not measured: a relaxed structure of TmSc2AlPd4 at the PBE level of DFT.

Lattice parameters (Å, degrees): 4.6431 4.6431 23.0716 90.00 90.00 120.00
Space group R-3m (No. 166, hexagonal axes)
Unique sites:
Tm 0.0000 0.0000 0.0000 x3
Sc 0.0000 0.0000 0.2448 x6
Al 0.0000 0.0000 0.5000 x3
Pd 0.0000 0.0000 0.1274 x6
Pd 0.0000 0.0000 0.3859 x6

Summary:
ΔH_f (0 K), meV per atom: -897
N(E_F), states/eV per cell: 17.4

=====

No. 12
Computed, not measured: a relaxed structure of ScAl2ZnPd2 at the PBE level of DFT.

Lattice parameters (Å, degrees): 4.3933 4.3933 5.8262 90.00 90.00 120.00
Space group P-3m1 (No. 164)
Unique sites:
Sc 0.0000 0.0000 0.0000 x1
Al 0.3333 0.6667 0.7192 x2
Zn 0.0000 0.0000 0.5000 x1
Pd 0.3333 0.6667 0.2617 x2

Summary:
ΔH_f (0 K), meV per atom: -686
N(E_F), states/eV per cell: 2.3

=====

No. 13
Computed, not measured: a relaxed structure of AlPd4Se at the PBE level of DFT.

Lattice parameters (Å, degrees): 4.5381 6.8014 6.6231 90.00 97.02 90.00
Space group P2_1/m (No. 11)
Unique sites:
Al 0.2396 0.2500 0.4484 x2
Pd 0.1632 0.7500 0.3108 x2
Pd 0.3361 0.5416 0.6708 x4
Pd 0.3834 0.2500 0.9615 x2
Se 0.0949 0.7500 0.9218 x2

Summary:
Relative energy among the computed polymorphs, eV per atom: 0.130
N(E_F), states/eV per cell: 5.7
Raw formation energy, eV/atom: -0.371

=====

No. 14
Computed, not measured: a relaxed structure of AlPdSe2 at the PBE level of DFT.

Lattice parameters (Å, degrees): 5.8287 5.8287 11.0823 90.00 90.00 90.00
Space group I-42d (No. 122)
Unique sites:
Al 0.0000 0.0000 0.0000 x4
Pd 0.0000 0.0000 0.5000 x4
Se 0.2375 0.2500 0.1250 x8

Summary:
N(E_F), states/eV per cell: 12.2
Raw formation energy, eV/atom: -0.478

=====

No. 15
Computed, not measured: a relaxed structure of AlPd4Se8 at the PBE level of DFT.

Lattice parameters (Å, degrees): 7.5365 7.5365 17.7398 90.00 90.00 120.00
Space group R-3m (No. 166, hexagonal axes)
Unique sites:
Al 0.0000 0.0000 0.0000 x3
Pd 0.0000 0.0000 0.5000 x3
Pd 0.0000 0.5000 0.5000 x9
Se 0.0000 0.0000 0.2418 x6
Se 0.0169 0.5085 0.7554 x18

Summary:
N(E_F), states/eV per cell: 11.7
Raw formation energy, eV/atom: -0.313

=====

No. 16
Computed, not measured: a relaxed structure of AlPd4Se at the PBE level of DFT.

Lattice parameters (Å, degrees): 6.4579 3.7232 16.0607 90.00 90.00 90.00
Space group Pnma (No. 62)
Unique sites:
Al 0.1730 0.2500 0.1948 x4
Pd 0.0568 0.2500 0.3390 x4
Pd 0.0587 0.7500 0.9352 x4
Pd 0.1148 0.2500 0.7836 x4
Pd 0.2385 0.2500 0.5983 x4
Se 0.1757 0.7500 0.4392 x4

Summary:
Relative energy among the computed polymorphs, eV per atom: 0.000
N(E_F), states/eV per cell: 10.8
Raw formation energy, eV/atom: -0.501

=====

No. 17
Computed, not measured: a relaxed structure of Al2PdSe at the PBE level of DFT.

Lattice parameters (Å, degrees): 6.2241 6.2241 9.1812 90.00 90.00 90.00
Space group I-42d (No. 122)
Unique sites:
Al 0.2365 0.2500 0.1250 x8
Pd 0.0000 0.0000 0.0000 x4
Se 0.0000 0.0000 0.5000 x4

Summary:
N(E_F), states/eV per cell: 0.2
Raw formation energy, eV/atom: -0.342

=====

No. 18
Computed, not measured: a relaxed structure of AlPd2Se at the PBE level of DFT.

Lattice parameters (Å, degrees): 4.0949 4.0949 16.8320 90.00 90.00 90.00
Space group I-42d (No. 122)
Unique sites:
Al 0.0000 0.0000 0.0000 x4
Pd 0.2498 0.2500 0.1250 x8
Se 0.0000 0.0000 0.5000 x4

Summary:
N(E_F), states/eV per cell: 8.3
Raw formation energy, eV/atom: -0.333

=====

No. 19
Computed, not measured: a relaxed structure of AlPdSe2 at the PBE level of DFT.

Lattice parameters (Å, degrees): 3.6453 3.6453 23.0180 90.00 90.00 120.00
Space group R-3m (No. 166, hexagonal axes)
Unique sites:
Al 0.0000 0.0000 0.0000 x3
Pd 0.0000 0.0000 0.5000 x3
Se 0.0000 0.0000 0.3952 x6

Summary:
N(E_F), states/eV per cell: 9.4
Raw formation energy, eV/atom: -0.382

=====

No. 20
Computed, not measured: a relaxed structure of AlPd8Se2 at the PBE level of DFT.

Lattice parameters (Å, degrees): 4.2013 6.3912 7.4710 66.90 73.69 89.65
Space group P-1 (No. 2)
Unique sites:
Al 0.0000 0.0000 0.0000 x1
Pd 0.0852 0.4509 0.8212 x2
Pd 0.1732 0.9596 0.6523 x2
Pd 0.3243 0.7207 0.3580 x2
Pd 0.4669 0.1913 0.0634 x2
Se 0.3327 0.3284 0.3457 x2

Summary:
N(E_F), states/eV per cell: 6.0
Raw formation energy, eV/atom: -0.333